Entry 1:
# Rb2HgAsO4 (PBE, optimized geometry)
data_Rb2HgAsO4
_space_group_name_H-M_alt 'I -4'
_space_group_IT_number 82
_cell_length_a 6.5977
_cell_length_b 6.5977
_cell_length_c 7.6928
_cell_angle_alpha 90.00
_cell_angle_beta 90.00
_cell_angle_gamma 90.00
loop_
_space_group_symop_operation_xyz
'x,y,z'
'y,-x,-z'
'-x,-y,z'
'-y,x,-z'
'x+1/2,y+1/2,z+1/2'
'y+1/2,-x+1/2,-z+1/2'
'-x+1/2,-y+1/2,z+1/2'
'-y+1/2,x+1/2,-z+1/2'
loop_
_atom_site_label
_atom_site_type_symbol
_atom_site_fract_x
_atom_site_fract_y
_atom_site_fract_z
Rb1 Rb 0.0000 0.0000 0.0000
Rb2 Rb 0.0000 0.5000 0.2500
Hg1 Hg 0.0000 0.5000 0.7500
As1 As 0.0000 0.0000 0.5000
O1 O 0.1382 0.8310 0.6276
# - formation energy from raw total energies (eV/atom) = -1.240

=====

Entry 2:
# RbHgAsO4 (PBE, optimized geometry)
data_RbHgAsO4
_space_group_name_H-M_alt 'P 1 21/m 1'
_space_group_IT_number 11
_cell_length_a 5.8553
_cell_length_b 6.2447
_cell_length_c 7.5826
_cell_angle_alpha 90.00
_cell_angle_beta 106.12
_cell_angle_gamma 90.00
loop_
_space_group_symop_operation_xyz
'x,y,z'
'-x,-y,-z'
'-x,y+1/2,-z'
'x,-y+1/2,z'
loop_
_atom_site_label
_atom_site_type_symbol
_atom_site_fract_x
_atom_site_fract_y
_atom_site_fract_z
Rb1 Rb 0.2018 0.2500 0.4302
Hg1 Hg 0.3091 0.2500 0.9592
As1 As 0.2466 0.7500 0.1728
O1 O 0.0345 0.7500 0.9615
O2 O 0.1117 0.7500 0.3444
O3 O 0.4470 0.5368 0.1884
# - formation energy from raw total energies (eV/atom) = -1.165

=====

Entry 3:
# RbHg2AsO4 (PBE, optimized geometry)
data_RbHg2AsO4
_space_group_name_H-M_alt 'I 2 2 2'
_space_group_IT_number 23
_cell_length_a 6.0365
_cell_length_b 7.0146
_cell_length_c 7.1484
_cell_angle_alpha 90.00
_cell_angle_beta 90.00
_cell_angle_gamma 90.00
loop_
_space_group_symop_operation_xyz
'x,y,z'
'-x,-y,z'
'x,-y,-z'
'-x,y,-z'
'x+1/2,y+1/2,z+1/2'
'-x+1/2,-y+1/2,z+1/2'
'x+1/2,-y+1/2,-z+1/2'
'-x+1/2,y+1/2,-z+1/2'
loop_
_atom_site_label
_atom_site_type_symbol
_atom_site_fract_x
_atom_site_fract_y
_atom_site_fract_z
Rb1 Rb 0.0000 0.0000 0.0000
Hg1 Hg 0.0000 0.5000 0.3054
As1 As 0.0000 0.0000 0.5000
O1 O 0.1737 0.1384 0.3598
# - formation energy from raw total energies (eV/atom) = -0.933

=====

Entry 4:
# Rb3HgAs2O8 (PBE, optimized geometry)
data_Rb3HgAs2O8
_space_group_name_H-M_alt 'P -3 m 1'
_space_group_IT_number 164
_space_group_name_Hall '-P 3 2"'
_cell_length_a 6.0677
_cell_length_b 6.0677
_cell_length_c 8.1202
_cell_angle_alpha 90.00
_cell_angle_beta 90.00
_cell_angle_gamma 120.00
loop_
_atom_site_label
_atom_site_type_symbol
_atom_site_fract_x
_atom_site_fract_y
_atom_site_fract_z
Rb1 Rb 0.0000 0.0000 0.0000
Rb2 Rb 0.3333 0.6667 0.6995
Hg1 Hg 0.0000 0.0000 0.5000
As1 As 0.3333 0.6667 0.2520
O1 O 0.1757 0.3515 0.3143
O2 O 0.3333 0.6667 0.0411
# - formation energy from raw total energies (eV/atom) = -1.254